# PBE HoOsPbO6, relaxed
# Electronic total energy (eV/cell): -255.96
data_HoOsPbO6
_chemical_formula_sum 'Ho4 Os4 Pb4 O24'
_space_group_name_H-M_alt 'C 1 2/m 1'
_space_group_IT_number 12
_cell_length_a 11.923
_cell_length_b 7.259
_cell_length_c 7.160
_cell_angle_alpha 90.00
_cell_angle_beta 123.94
_cell_angle_gamma 90.00
loop_
_space_group_symop_operation_xyz
'x,y,z'
'-x,-y,-z'
'-x,y,-z'
'x,-y,z'
'x+1/2,y+1/2,z'
'-x+1/2,-y+1/2,-z'
'-x+1/2,y+1/2,-z'
'x+1/2,-y+1/2,z'
loop_
_atom_site_label
_atom_site_type_symbol
_atom_site_fract_x
_atom_site_fract_y
_atom_site_fract_z
Ho1 Ho 0.000 0.000 0.000
Ho2 Ho 0.000 0.000 0.500
Os1 Os 0.250 0.250 0.000
Pb1 Pb 0.133 0.500 0.428
O1 O 0.120 0.294 0.686
O2 O 0.125 0.297 0.063
O3 O 0.132 0.000 0.370
O4 O 0.167 0.000 0.913

---

# PBE Ho2OsPbO8, relaxed
# Electronic total energy (eV/cell): -176.58
data_Ho2OsPbO8
_chemical_formula_sum 'Ho4 Os2 Pb2 O16'
_space_group_name_H-M_alt 'C m m m'
_space_group_IT_number 65
_space_group_name_Hall '-C 2 2'
_cell_length_a 7.035
_cell_length_b 7.107
_cell_length_c 6.842
_cell_angle_alpha 90.00
_cell_angle_beta 90.00
_cell_angle_gamma 90.00
loop_
_atom_site_label
_atom_site_type_symbol
_atom_site_fract_x
_atom_site_fract_y
_atom_site_fract_z
Ho1 Ho 0.000 0.000 0.248
Os1 Os 0.000 0.500 0.500
Pb1 Pb 0.000 0.500 0.000
O1 O 0.000 0.317 0.288
O2 O 0.188 0.000 0.000
O3 O 0.235 0.000 0.500

---

# PBE PmHoOsO6, relaxed
# Electronic total energy (eV/cell): -143.07
data_PmHoOsO6
_chemical_formula_sum 'Pm2 Ho2 Os2 O12'
_space_group_name_H-M_alt 'P -3 1 c'
_space_group_IT_number 163
_space_group_name_Hall '-P 3 2c'
_cell_length_a 5.5086
_cell_length_b 5.5086
_cell_length_c 9.8356
_cell_angle_alpha 90.00
_cell_angle_beta 90.00
_cell_angle_gamma 120.00
loop_
_atom_site_label
_atom_site_type_symbol
_atom_site_fract_x
_atom_site_fract_y
_atom_site_fract_z
Pm1 Pm 0.0000 0.0000 0.0000
Ho1 Ho 0.3333 0.6667 0.2500
Os1 Os 0.3333 0.6667 0.7500
O1 O 0.0414 0.3747 0.6381

---

# PBE PrHo2OsO8, relaxed
# Electronic total energy (eV/cell): -189.58
data_PrHo2OsO8
_chemical_formula_sum 'Pr2 Ho4 Os2 O16'
_space_group_name_H-M_alt 'C m m m'
_space_group_IT_number 65
_space_group_name_Hall '-C 2 2'
_cell_length_a 7.124
_cell_length_b 7.214
_cell_length_c 6.892
_cell_angle_alpha 90.00
_cell_angle_beta 90.00
_cell_angle_gamma 90.00
loop_
_atom_site_label
_atom_site_type_symbol
_atom_site_fract_x
_atom_site_fract_y
_atom_site_fract_z
Pr1 Pr 0.000 0.000 0.000
Ho1 Ho 0.000 0.500 0.247
Os1 Os 0.000 0.000 0.500
O1 O 0.000 0.262 0.500
O2 O 0.000 0.318 0.000
O3 O 0.187 0.000 0.298

---

# PBE Rb3Ho3OsO8, relaxed
# Electronic total energy (eV/cell): -307.09
data_Rb3Ho3OsO8
_chemical_formula_sum 'Rb9 Ho9 Os3 O24'
_space_group_name_H-M_alt 'R -3 m'
_space_group_IT_number 166
_space_group_name_Hall '-R 3 2"'
_cell_length_a 6.7828
_cell_length_b 6.7828
_cell_length_c 19.7044
_cell_angle_alpha 90.00
_cell_angle_beta 90.00
_cell_angle_gamma 120.00
loop_
_atom_site_label
_atom_site_type_symbol
_atom_site_fract_x
_atom_site_fract_y
_atom_site_fract_z
Rb1 Rb 0.0000 0.5000 0.0000
Ho1 Ho 0.0000 0.5000 0.5000
Os1 Os 0.0000 0.0000 0.5000
O1 O 0.0000 0.0000 0.2241
O2 O 0.0243 0.5121 0.2210

---

# PBE Rb2HoOs3O12, relaxed
# Electronic total energy (eV/cell): -380.21
data_Rb2HoOs3O12
_chemical_formula_sum 'Rb6 Ho3 Os9 O36'
_space_group_name_H-M_alt 'R -3 m'
_space_group_IT_number 166
_space_group_name_Hall '-R 3 2"'
_cell_length_a 7.3355
_cell_length_b 7.3355
_cell_length_c 18.7132
_cell_angle_alpha 90.00
_cell_angle_beta 90.00
_cell_angle_gamma 120.00
loop_
_atom_site_label
_atom_site_type_symbol
_atom_site_fract_x
_atom_site_fract_y
_atom_site_fract_z
Rb1 Rb 0.0000 0.0000 0.1199
Ho1 Ho 0.0000 0.0000 0.5000
Os1 Os 0.0000 0.5000 0.0000
O1 O 0.0431 0.5216 0.0991
O2 O 0.0802 0.5401 0.3439

---

# PBE RbHo2OsO8, relaxed
# Electronic total energy (eV/cell): -84.79
data_RbHo2OsO8
_chemical_formula_sum 'Rb1 Ho2 Os1 O8'
_space_group_name_H-M_alt 'P -1'
_space_group_IT_number 2
_cell_length_a 4.338
_cell_length_b 5.231
_cell_length_c 7.369
_cell_angle_alpha 88.64
_cell_angle_beta 73.99
_cell_angle_gamma 87.02
loop_
_space_group_symop_operation_xyz
'x,y,z'
'-x,-y,-z'
loop_
_atom_site_label
_atom_site_type_symbol
_atom_site_fract_x
_atom_site_fract_y
_atom_site_fract_z
Rb1 Rb 0.000 0.000 0.000
Ho1 Ho 0.395 0.527 0.301
Os1 Os 0.000 0.000 0.500
O1 O 0.167 0.310 0.587
O2 O 0.217 0.774 0.625
O3 O 0.321 0.493 0.011
O4 O 0.345 0.965 0.277

---

# PBE RbHoOs2O8, relaxed
# Electronic total energy (eV/cell): -86.33
data_RbHoOs2O8
_chemical_formula_sum 'Rb1 Ho1 Os2 O8'
_space_group_name_H-M_alt 'P -3'
_space_group_IT_number 147
_cell_length_a 6.0033
_cell_length_b 6.0033
_cell_length_c 7.9915
_cell_angle_alpha 90.00
_cell_angle_beta 90.00
_cell_angle_gamma 120.00
loop_
_space_group_symop_operation_xyz
'x,y,z'
'-x,-y,-z'
'-y,x-y,z'
'y,-x+y,-z'
'-x+y,-x,z'
'x-y,x,-z'
loop_
_atom_site_label
_atom_site_type_symbol
_atom_site_fract_x
_atom_site_fract_y
_atom_site_fract_z
Rb1 Rb 0.0000 0.0000 0.0000
Ho1 Ho 0.0000 0.0000 0.5000
Os1 Os 0.3333 0.6667 0.7507
O1 O 0.1662 0.3376 0.6730
O2 O 0.3333 0.6667 0.9721

---

# PBE Rb2HoOsO6, relaxed
# Electronic total energy (eV/cell): -64.97
data_Rb2HoOsO6
_chemical_formula_sum 'Rb2 Ho1 Os1 O6'
_space_group_name_H-M_alt 'P -3 m 1'
_space_group_IT_number 164
_space_group_name_Hall '-P 3 2"'
_cell_length_a 6.4359
_cell_length_b 6.4359
_cell_length_c 5.7400
_cell_angle_alpha 90.00
_cell_angle_beta 90.00
_cell_angle_gamma 120.00
loop_
_atom_site_label
_atom_site_type_symbol
_atom_site_fract_x
_atom_site_fract_y
_atom_site_fract_z
Rb1 Rb 0.3333 0.6667 0.1260
Ho1 Ho 0.0000 0.0000 0.5000
Os1 Os 0.0000 0.0000 0.0000
O1 O 0.1361 0.2721 0.7948

---

# PBE HoSnOsO6, relaxed
# Electronic total energy (eV/cell): -131.12
data_HoSnOsO6
_chemical_formula_sum 'Ho2 Sn2 Os2 O12'
_space_group_name_H-M_alt 'P -3 1 c'
_space_group_IT_number 163
_space_group_name_Hall '-P 3 2c'
_cell_length_a 5.3802
_cell_length_b 5.3802
_cell_length_c 9.0082
_cell_angle_alpha 90.00
_cell_angle_beta 90.00
_cell_angle_gamma 120.00
loop_
_atom_site_label
_atom_site_type_symbol
_atom_site_fract_x
_atom_site_fract_y
_atom_site_fract_z
Ho1 Ho 0.3333 0.6667 0.2500
Sn1 Sn 0.0000 0.0000 0.0000
Os1 Os 0.3333 0.6667 0.7500
O1 O 0.0354 0.3519 0.6259

---

# PBE SrHoOs2O8, relaxed
# Electronic total energy (eV/cell): -88.28
data_SrHoOs2O8
_chemical_formula_sum 'Sr1 Ho1 Os2 O8'
_space_group_name_H-M_alt 'P -3'
_space_group_IT_number 147
_cell_length_a 5.9181
_cell_length_b 5.9181
_cell_length_c 7.1600
_cell_angle_alpha 90.00
_cell_angle_beta 90.00
_cell_angle_gamma 120.00
loop_
_space_group_symop_operation_xyz
'x,y,z'
'-x,-y,-z'
'-y,x-y,z'
'y,-x+y,-z'
'-x+y,-x,z'
'x-y,x,-z'
loop_
_atom_site_label
_atom_site_type_symbol
_atom_site_fract_x
_atom_site_fract_y
_atom_site_fract_z
Sr1 Sr 0.0000 0.0000 0.0000
Ho1 Ho 0.0000 0.0000 0.5000
Os1 Os 0.3333 0.6667 0.7876
O1 O 0.1609 0.8372 0.7093
O2 O 0.3333 0.6667 0.0384

---

# PBE Sr2HoOsO8, relaxed
# Electronic total energy (eV/cell): -82.09
data_Sr2HoOsO8
_chemical_formula_sum 'Sr2 Ho1 Os1 O8'
_space_group_name_H-M_alt 'P 1 2/m 1'
_space_group_IT_number 10
_cell_length_a 5.106
_cell_length_b 6.772
_cell_length_c 5.404
_cell_angle_alpha 90.00
_cell_angle_beta 90.36
_cell_angle_gamma 90.00
loop_
_space_group_symop_operation_xyz
'x,y,z'
'-x,-y,-z'
'-x,y,-z'
'x,-y,z'
loop_
_atom_site_label
_atom_site_type_symbol
_atom_site_fract_x
_atom_site_fract_y
_atom_site_fract_z
Sr1 Sr 0.000 0.242 0.000
Ho1 Ho 0.500 0.500 0.500
Os1 Os 0.500 0.000 0.500
O1 O 0.287 0.207 0.625
O2 O 0.291 0.500 0.143
O3 O 0.305 0.000 0.212

---

# PBE Sr2HoOs3O12, relaxed
# Electronic total energy (eV/cell): -396.34
data_Sr2HoOs3O12
_chemical_formula_sum 'Sr6 Ho3 Os9 O36'
_space_group_name_H-M_alt 'R -3 m'
_space_group_IT_number 166
_space_group_name_Hall '-R 3 2"'
_cell_length_a 7.3333
_cell_length_b 7.3333
_cell_length_c 15.6765
_cell_angle_alpha 90.00
_cell_angle_beta 90.00
_cell_angle_gamma 120.00
loop_
_atom_site_label
_atom_site_type_symbol
_atom_site_fract_x
_atom_site_fract_y
_atom_site_fract_z
Sr1 Sr 0.0000 0.0000 0.1171
Ho1 Ho 0.0000 0.0000 0.5000
Os1 Os 0.0000 0.5000 0.0000
O1 O 0.0321 0.5160 0.8802
O2 O 0.0685 0.5342 0.3164

---

# PBE SrHoOsO6, relaxed
# Electronic total energy (eV/cell): -133.27
data_SrHoOsO6
_chemical_formula_sum 'Sr2 Ho2 Os2 O12'
_space_group_name_H-M_alt 'P -3 1 c'
_space_group_IT_number 163
_space_group_name_Hall '-P 3 2c'
_cell_length_a 5.5622
_cell_length_b 5.5622
_cell_length_c 10.4121
_cell_angle_alpha 90.00
_cell_angle_beta 90.00
_cell_angle_gamma 120.00
loop_
_atom_site_label
_atom_site_type_symbol
_atom_site_fract_x
_atom_site_fract_y
_atom_site_fract_z
Sr1 Sr 0.0000 0.0000 0.0000
Ho1 Ho 0.3333 0.6667 0.2500
Os1 Os 0.3333 0.6667 0.7500
O1 O 0.0443 0.3899 0.6459

---

# PBE TbHoOsO6, relaxed
# Electronic total energy (eV/cell): -143.24
data_TbHoOsO6
_chemical_formula_sum 'Tb2 Ho2 Os2 O12'
_space_group_name_H-M_alt 'P -3 1 c'
_space_group_IT_number 163
_space_group_name_Hall '-P 3 2c'
_cell_length_a 5.4772
_cell_length_b 5.4772
_cell_length_c 9.5720
_cell_angle_alpha 90.00
_cell_angle_beta 90.00
_cell_angle_gamma 120.00
loop_
_atom_site_label
_atom_site_type_symbol
_atom_site_fract_x
_atom_site_fract_y
_atom_site_fract_z
Tb1 Tb 0.0000 0.0000 0.0000
Ho1 Ho 0.3333 0.6667 0.2500
Os1 Os 0.3333 0.6667 0.7500
O1 O 0.0419 0.3703 0.6353

---

# PBE TbHo2OsO8, relaxed
# Electronic total energy (eV/cell): -190.50
data_TbHo2OsO8
_chemical_formula_sum 'Tb2 Ho4 Os2 O16'
_space_group_name_H-M_alt 'C m m m'
_space_group_IT_number 65
_space_group_name_Hall '-C 2 2'
_cell_length_a 7.096
_cell_length_b 7.126
_cell_length_c 6.766
_cell_angle_alpha 90.00
_cell_angle_beta 90.00
_cell_angle_gamma 90.00
loop_
_atom_site_label
_atom_site_type_symbol
_atom_site_fract_x
_atom_site_fract_y
_atom_site_fract_z
Tb1 Tb 0.000 0.000 0.000
Ho1 Ho 0.000 0.500 0.246
Os1 Os 0.000 0.000 0.500
O1 O 0.000 0.184 0.291
O2 O 0.190 0.500 0.000
O3 O 0.235 0.500 0.500

---

# PBE Tb2HoOsO8, relaxed
# Electronic total energy (eV/cell): -190.27
data_Tb2HoOsO8
_chemical_formula_sum 'Tb4 Ho2 Os2 O16'
_space_group_name_H-M_alt 'C m m m'
_space_group_IT_number 65
_space_group_name_Hall '-C 2 2'
_cell_length_a 7.113
_cell_length_b 7.178
_cell_length_c 6.779
_cell_angle_alpha 90.00
_cell_angle_beta 90.00
_cell_angle_gamma 90.00
loop_
_atom_site_label
_atom_site_type_symbol
_atom_site_fract_x
_atom_site_fract_y
_atom_site_fract_z
Tb1 Tb 0.000 0.000 0.247
Ho1 Ho 0.000 0.500 0.000
Os1 Os 0.000 0.500 0.500
O1 O 0.000 0.318 0.289
O2 O 0.194 0.000 0.000
O3 O 0.237 0.000 0.500

---

# PBE HoTl2Os3O12, relaxed
# Electronic total energy (eV/cell): -376.75
data_HoTl2Os3O12
_chemical_formula_sum 'Ho3 Tl6 Os9 O36'
_space_group_name_H-M_alt 'R -3 m'
_space_group_IT_number 166
_space_group_name_Hall '-R 3 2"'
_cell_length_a 7.3157
_cell_length_b 7.3157
_cell_length_c 18.7903
_cell_angle_alpha 90.00
_cell_angle_beta 90.00
_cell_angle_gamma 120.00
loop_
_atom_site_label
_atom_site_type_symbol
_atom_site_fract_x
_atom_site_fract_y
_atom_site_fract_z
Ho1 Ho 0.0000 0.0000 0.0000
Tl1 Tl 0.0000 0.0000 0.3430
Os1 Os 0.0000 0.5000 0.5000
O1 O 0.0382 0.5191 0.5999
O2 O 0.0836 0.5418 0.8425